No. 1
PBE BSbAs3, relaxed; density of states at the Fermi level = 6.45 states/eV/cell; energy above the most stable polymorph in this dataset = 1165 meV/atom; total magnetization = 0.00 μB/atom; uncorrected formation energy = 1850 meV/atom
1.0
5.280 0.000 0.000
0.000 5.280 0.000
0.000 0.000 5.280
As Sb B
3 1 1
Cartesian
0.000 2.640 0.000 As
0.000 0.000 2.640 As
2.640 0.000 0.000 As
0.000 0.000 0.000 Sb
2.640 2.640 2.640 B

No. 2
PBE Pm2GePdPt6, relaxed; density of states at the Fermi level = 4.84 states/eV/cell; calculated total energy = -6.276 eV/atom; total magnetization = 0.00 μB/atom
1.0
-4.182 -0.016 -3.434
-4.951 -3.916 6.040
-5.650 1.958 2.607
Pt Pd Pm Ge
6 1 2 1
Cartesian
-10.281 -1.083 6.155 Pt
-4.503 -0.891 -0.942 Pt
-5.926 -0.652 2.960 Pt
-8.857 -1.321 2.253 Pt
-2.378 -0.890 0.800 Pt
-12.406 -1.083 4.413 Pt
0.000 0.000 0.000 Pd
-7.095 0.256 0.109 Pm
-7.688 -2.230 5.104 Pm
-4.567 -1.966 1.303 Ge